NaZrTaS3 (PBE, optimized geometry); crystal system = orthorhombic; total DFT energy (no corrections) = -6.826 eV/atom
1.0
1.8078 -6.9842 0.0000
1.8078 6.9842 0.0000
0.0000 0.0000 9.8022
Na Zr Ta S
2 2 2 6
Direct
0.2421 0.7579 0.7500 Na
0.7579 0.2421 0.2500 Na
0.0000 0.0000 0.0000 Zr
0.0000 0.0000 0.5000 Zr
0.4770 0.5230 0.2500 Ta
0.5230 0.4770 0.7500 Ta
0.0972 0.9028 0.2500 S
0.3701 0.6299 0.0612 S
0.3701 0.6299 0.4388 S
0.6299 0.3701 0.5612 S
0.6299 0.3701 0.9388 S
0.9028 0.0972 0.7500 S